{
  "formula": "TlReTc2",
  "functional": "PBE-GGA",
  "state": "optimized geometry",
  "magnetic_moment_mub_per_atom": 0.000,
  "polymorph_energy_ev_per_fu": 0.00,
  "formation_energy_ev_per_atom": 0.398,
  "dos_at_fermi_per_ev_atom": 0.979,
  "lattice": [[2.8820, 0.0000, 0.0000], [0.0000, 2.8820, 0.0000], [0.0000, 0.0000, 8.0042]],
  "species": ["Tl", "Re", "Tc", "Tc"],
  "fractional_positions": [[0.0000, 0.0000, 0.0000], [0.0000, 0.0000, 0.5000], [0.5000, 0.5000, 0.2796], [0.5000, 0.5000, 0.7204]]
}